Record 1
The following is a PBE calculation of an optimized crystal structure of SiOsS2Cl, from Alexandria.

Properties
The energy relative to the lowest polymorph listed for this composition comes out at 0.00 eV per formula unit. The uncorrected formation energy is 0.66 eV per atom. The calculation puts the magnetic moment at 0.000 μB per atom. For the final energy, the calculation gives -23.4 eV for the cell shown.

Unit cell a=4.5957 b=4.5957 c=4.8403 alpha=90.00 beta=90.00 gamma=90.00
Closest atoms and distances in Å follow each position.
Fractional positions:
Si  0.0000  0.0000  0.0000  4 Cl 3.25, 8 S 3.34
Os  0.5000  0.5000  0.5000  4 S 2.30, 2 Cl 2.42
S  0.0000  0.5000  0.5000  2 Os 2.30
S  0.5000  0.0000  0.5000  2 Os 2.30
Cl  0.5000  0.5000  0.0000  2 Os 2.42

Record 2
The following is a PBE calculation of an optimized crystal structure of Sm4OsS2Cl, from Alexandria.

Properties
The uncorrected formation energy is -1.31 eV per atom. The calculation puts the magnetic moment at 0.000 μB per atom. For the final energy, the calculation gives -50.7 eV for the cell shown.

Unit cell a=7.1738 b=3.9440 c=7.1826 alpha=90.00 beta=107.16 gamma=90.00
Closest atoms and distances in Å follow each position.
Fractional positions:
Sm  0.2432  0.0000  0.2221  1 Os 2.77, 3 S 2.80-3.01, 2 Cl 3.02
Sm  0.2533  0.5000  0.7656  3 S 2.82-2.96, 2 Os 2.85, 1 Cl 2.96
Sm  0.7467  0.5000  0.2344  3 S 2.82-2.96, 2 Os 2.85, 1 Cl 2.96
Sm  0.7568  0.0000  0.7779  1 Os 2.77, 3 S 2.80-3.01, 2 Cl 3.02
Os  0.5000  0.0000  0.0000  6 Sm 2.77-2.85
S  0.0000  0.0000  0.5000  6 Sm 2.96-3.01
S  0.0000  0.5000  0.0000  6 Sm 2.80-2.82
Cl  0.5000  0.5000  0.5000  6 Sm 2.96-3.02

Record 3
The following is a PBE calculation of an optimized crystal structure of SnOsSCl2, from Alexandria.

Properties
The energy relative to the lowest polymorph listed for this composition comes out at 0.00 eV per formula unit. The uncorrected formation energy is 0.19 eV per atom. The calculation puts the magnetic moment at 0.000 μB per atom. For the final energy, the calculation gives -22.1 eV for the cell shown.

Unit cell a=4.9469 b=4.9469 c=4.5125 alpha=90.00 beta=90.00 gamma=90.00
Closest atoms and distances in Å follow each position.
Fractional positions:
Sn  0.0000  0.0000  0.0000  8 Cl 3.35, 4 S 3.50
Os  0.5000  0.5000  0.5000  2 S 2.26, 4 Cl 2.47
S  0.5000  0.5000  0.0000  2 Os 2.26
Cl  0.0000  0.5000  0.5000  2 Os 2.47
Cl  0.5000  0.0000  0.5000  2 Os 2.47

Record 4
The following is a PBE calculation of an optimized crystal structure of SnOsS2Cl, from Alexandria.

Properties
The energy relative to the lowest polymorph listed for this composition comes out at 0.00 eV per formula unit. The uncorrected formation energy is 0.20 eV per atom. The calculation puts the magnetic moment at 0.000 μB per atom. For the final energy, the calculation gives -24.3 eV for the cell shown.

Unit cell a=4.6570 b=4.6570 c=4.8832 alpha=90.00 beta=90.00 gamma=90.00
Closest atoms and distances in Å follow each position.
Fractional positions:
Sn  0.0000  0.0000  0.0000  4 Cl 3.29, 8 S 3.37
Os  0.5000  0.5000  0.5000  4 S 2.33, 2 Cl 2.44
S  0.0000  0.5000  0.5000  2 Os 2.33
S  0.5000  0.0000  0.5000  2 Os 2.33
Cl  0.5000  0.5000  0.0000  2 Os 2.44

Record 5
The following is a PBE calculation of an optimized crystal structure of SnOsSCl2, from Alexandria.

Properties
The energy relative to the lowest polymorph listed for this composition comes out at 4.32 eV per formula unit. The uncorrected formation energy is 1.05 eV per atom. The calculation puts the magnetic moment at 0.990 μB per atom. For the final energy, the calculation gives -17.8 eV for the cell shown.

Unit cell a=5.2790 b=5.2790 c=5.0719 alpha=90.00 beta=90.00 gamma=90.00
Closest atoms and distances in Å follow each position.
Fractional positions:
Sn  0.0000  0.0000  0.0000  2 S 2.54, 4 Cl 2.64
Os  0.5000  0.5000  0.5000  8 Cl 3.66, 4 S 3.73
S  0.0000  0.0000  0.5000  2 Sn 2.54
Cl  0.0000  0.5000  0.0000  2 Sn 2.64
Cl  0.5000  0.0000  0.0000  2 Sn 2.64

Record 6
The following is a PBE calculation of an optimized crystal structure of Sr2OsSCl, from Alexandria.

Properties
The uncorrected formation energy is -0.77 eV per atom. The calculation puts the magnetic moment at 0.000 μB per atom. For the final energy, the calculation gives -24.4 eV for the cell shown.

Unit cell a=5.8184 b=5.8184 c=4.2429 alpha=90.00 beta=90.00 gamma=90.00
Closest atoms and distances in Å follow each position.
Fractional positions:
Sr  0.0000  0.5000  0.0000  2 S 2.91
Sr  0.5000  0.0000  0.0000  2 S 2.91
Os  0.0000  0.0000  0.5000  2 S 2.12
S  0.0000  0.0000  0.0000  2 Os 2.12
Cl  0.5000  0.5000  0.5000  8 Sr 3.60